DFT (PBE-GGA) results for crystalline Zn2Te at its relaxed geometry.

- energy above the lowest structure with this stoichiometry (meV per atom) = 226.4
- crystal system = tetragonal
- formation energy without anion corrections (meV per atom) = 106
- magnetic moment (Bohr magnetons per cell) = 0.0

Unit cell a=8.9041 b=8.9041 c=8.9041 alpha=154.46 beta=154.46 gamma=36.43
Last column: nearest neighbours and their distance in Å.
Positions (direct):
Zn 0.4234 0.4234 0.0000  3 Zn 2.56-2.59
Zn 0.5766 0.5766 0.0000  3 Zn 2.56-2.59
Zn 0.3266 0.8266 0.5000  3 Zn 2.56-2.59
Zn 0.1734 0.6734 0.5000  3 Zn 2.56-2.59
Te 0.0000 0.0000 0.0000  8 Zn 3.07
Te 0.7500 0.2500 0.5000  8 Zn 3.07